Record 1
This record from Alexandria describes K3TcPd after structural relaxation. The functional is PBE.

Computed properties:
total magnetization: 0.800 μB per atom
polymorph energy (0 for the lowest one): 0.000 eV/f.u.

Cell lengths 6.129, 6.129, 6.129 Å; angles 90.00, 90.00, 90.00 degrees
Positions (direct):
K1 0.000 0.000 0.500
K2 0.000 0.500 0.000
K3 0.500 0.000 0.000
Tc1 0.500 0.500 0.500
Pd1 0.000 0.000 0.000

=====

Record 2
This record from Alexandria describes Cu3NiSe4 after structural relaxation. The functional is PBE.

Computed properties:
total magnetization: 0.000 μB per atom
formation energy from raw total energies: -118 kJ/mol of formula units

Cell lengths 6.675, 6.675, 6.675 Å; angles 131.54, 131.54, 70.95 degrees
Positions (direct):
Cu1 0.000 0.000 0.000
Cu2 0.250 0.750 0.500
Cu3 0.750 0.250 0.500
Ni1 0.500 0.500 0.000
Se1 0.136 0.136 0.515
Se2 0.379 0.864 0.000
Se3 0.621 0.621 0.485
Se4 0.864 0.379 0.000

=====

Record 3
This record from Alexandria describes CsPuAgO4 after structural relaxation. The functional is PBE.

Computed properties:
total magnetization: 0.286 μB per atom
formation energy from raw total energies: -1218 kJ/mol of formula units

Cell lengths 7.532, 7.532, 7.532 Å; angles 125.71, 121.30, 84.07 degrees
Positions (direct):
Cs1 0.355 0.105 0.250
Cs2 0.645 0.895 0.750
Pu1 0.000 0.000 0.500
Pu2 0.000 0.500 0.000
Ag1 0.000 0.500 0.500
Ag2 0.500 0.500 0.000
O1 0.165 0.238 0.927
O2 0.174 0.214 0.540
O3 0.174 0.634 0.960
O4 0.188 0.762 0.427
O5 0.812 0.238 0.573
O6 0.826 0.366 0.040
O7 0.826 0.786 0.460
O8 0.835 0.762 0.073

=====

Record 4
This record from Alexandria describes Na2TbSbTe4 after structural relaxation. The functional is PBE.

Computed properties:
total magnetization: 0.000 μB per atom
formation energy from raw total energies: -682 kJ/mol of formula units

Cell lengths 7.738, 4.443, 7.971 Å; angles 90.00, 108.73, 90.00 degrees
Positions (direct):
Na1 0.000 0.000 0.000
Na2 0.500 0.500 0.000
Tb1 0.000 0.500 0.500
Sb1 0.500 0.000 0.500
Te1 0.246 0.000 0.731
Te2 0.258 0.500 0.269
Te3 0.742 0.500 0.731
Te4 0.754 0.000 0.269

=====

Record 5
This record from Alexandria describes Nd7Dy3Y after structural relaxation. The functional is PBE.

Computed properties:
total magnetization: 0.000 μB per atom
polymorph energy (0 for the lowest one): 0.000 eV/f.u.

Cell lengths 10.313, 10.313, 12.623 Å; angles 114.28, 114.28, 41.01 degrees
Positions (direct):
Nd1 0.079 0.585 0.972
Nd2 0.080 0.583 0.471
Nd3 0.220 0.780 0.750
Nd4 0.336 0.347 0.227
Nd5 0.347 0.336 0.727
Nd6 0.415 0.921 0.528
Nd7 0.417 0.920 0.029
Nd8 0.583 0.080 0.971
Nd9 0.585 0.079 0.472
Nd10 0.653 0.664 0.273
Nd11 0.664 0.653 0.773
Nd12 0.780 0.220 0.250
Nd13 0.920 0.417 0.529
Nd14 0.921 0.415 0.028
Dy1 0.167 0.173 0.275
Dy2 0.173 0.167 0.775
Dy3 0.500 0.500 0.000
Dy4 0.500 0.500 0.500
Dy5 0.827 0.833 0.225
Dy6 0.833 0.827 0.725
Y1 0.000 0.000 0.000
Y2 0.000 0.000 0.500

=====

Record 6
This record from Alexandria describes Mg4HIr4 after structural relaxation. The functional is PBE.

Computed properties:
total magnetization: 0.000 μB per atom
polymorph energy (0 for the lowest one): 0.171 eV/f.u.

Cell lengths 4.690, 5.228, 5.863 Å; angles 106.27, 90.01, 111.08 degrees
Positions (direct):
Mg1 0.185 0.276 0.199
Mg2 0.187 0.278 0.689
Mg3 0.813 0.722 0.311
Mg4 0.815 0.724 0.801
H1 0.500 0.500 0.000
Ir1 0.317 0.784 0.571
Ir2 0.323 0.777 0.070
Ir3 0.677 0.223 0.930
Ir4 0.683 0.216 0.429

=====

Record 7
This record from Alexandria describes SrTl4Re after structural relaxation. The functional is PBE.

Computed properties:
E: -18.97 eV for the cell shown
total magnetization: 0.456 μB per atom

Cell lengths 6.241, 6.241, 6.241 Å; angles 60.00, 60.00, 60.00 degrees
Positions (direct):
Sr1 0.000 0.000 0.000
Tl1 0.128 0.624 0.624
Tl2 0.624 0.128 0.624
Tl3 0.624 0.624 0.128
Tl4 0.624 0.624 0.624
Re1 0.250 0.250 0.250

=====

Record 8
This record from Alexandria describes Tb3Pr8Sm2 after structural relaxation. The functional is PBE.

Computed properties:
total magnetization: 0.000 μB per atom
polymorph energy (0 for the lowest one): 0.000 eV/f.u.

Cell lengths 9.014, 9.014, 6.190 Å; angles 107.38, 107.38, 82.99 degrees
Positions (direct):
Tb1 0.000 0.000 0.000
Tb2 0.266 0.734 0.500
Tb3 0.734 0.266 0.500
Pr1 0.077 0.596 0.842
Pr2 0.140 0.140 0.596
Pr3 0.404 0.923 0.158
Pr4 0.416 0.416 0.740
Pr5 0.584 0.584 0.260
Pr6 0.596 0.077 0.842
Pr7 0.860 0.860 0.404
Pr8 0.923 0.404 0.158
Sm1 0.308 0.308 0.160
Sm2 0.692 0.692 0.840